Sr3SnN, optimized geometry, DFT GGA-PBE; calculated total energy = -4.06 eV/atom; total magnetic moment = 0.000 μB per formula unit
1.0
12.553 -1.939 0.000
12.553 1.939 0.000
-0.338 0.000 6.245
Sr Sn N
6 2 2
Direct
0.000 0.000 0.000
0.151 0.151 0.640
0.239 0.239 0.159
0.390 0.390 0.794
0.501 0.501 0.485
0.889 0.889 0.309
0.619 0.619 0.134
0.771 0.771 0.664
0.439 0.439 0.151
0.951 0.951 0.643